PBE-GGA KAsF2, relaxed; calculated volume = 17.71 Å³/atom; uncorrected formation energy = -1.424 eV/atom; relative energy among the computed polymorphs = 394 meV per atom; space group = R-3m (166); VASP energy = -3.796 eV/atom
1.0
4.0812 0.0000 0.0000
-2.0406 3.5344 0.0000
0.0000 0.0000 14.7321
K As F
3 3 6
direct
0.0000 0.0000 0.0000
0.3333 0.6667 0.6667
0.6667 0.3333 0.3333
0.0000 0.0000 0.5000
0.3333 0.6667 0.1667
0.6667 0.3333 0.8333
0.0000 0.0000 0.1924
0.0000 0.0000 0.8076
0.3333 0.6667 0.4742
0.3333 0.6667 0.8591
0.6667 0.3333 0.1409
0.6667 0.3333 0.5258